(1)
The following is a DFT calculation (PBE) of a relaxed structure of BaMoAs2P.

```
BaMoAs2P
1.0
5.742 0.000 0.000
0.000 5.742 0.000
0.000 0.000 6.535
Ba Mo As P
1 1 2 1
Direct
0.000 0.000 0.000 Ba
0.000 0.000 0.500 Mo
0.000 0.500 0.000 As
0.500 0.000 0.000 As
0.500 0.500 0.500 P
```

## Properties
Formation energy from the elements (eV/atom): 2.275
Size of the total moment (μB per formula unit): 2.4
Crystal system: tetragonal
Calculated volume (Å³ per cell): 215
SG: P4/mmm
DFT total energy (eV per atom): -3.2175

***

(2)
The following is a DFT calculation (PBE) of a relaxed structure of BaMoAs2Ru.

```
BaMoAs2Ru
1.0
4.859 0.000 0.000
0.000 4.859 0.000
0.000 0.000 5.806
Ba Mo As Ru
1 1 2 1
Direct
0.000 0.000 0.000 Ba
0.000 0.000 0.500 Mo
0.000 0.500 0.500 As
0.500 0.000 0.500 As
0.500 0.500 0.000 Ru
```

## Properties
Formation energy from the elements (eV/atom): 0.963
Size of the total moment (μB per formula unit): 2.3
Crystal system: tetragonal
Calculated volume (Å³ per cell): 137
SG: P4/mmm
DFT total energy (eV per atom): -5.3030

***

(3)
The following is a DFT calculation (PBE) of a relaxed structure of BaSbMoAs2.

```
BaSbMoAs2
1.0
5.703 0.000 0.000
0.000 5.703 0.000
0.000 0.000 5.817
Ba Sb Mo As
1 1 1 2
Direct
0.000 0.000 0.000 Ba
0.500 0.500 0.500 Sb
0.000 0.000 0.500 Mo
0.000 0.500 0.000 As
0.500 0.000 0.000 As
```

## Properties
Formation energy from raw total energies (eV per atom): 1.8795
Size of the total moment (μB per formula unit): 4.1
Crystal system: tetragonal
Calculated volume (Å³ per cell): 189
SG: P4/mmm
DFT total energy (eV per atom): -3.3555

***

(4)
The following is a DFT calculation (PBE) of a relaxed structure of BaMoAsSe2.

```
BaMoAsSe2
1.0
5.773 0.000 0.000
0.000 5.773 0.000
0.000 0.000 5.618
Ba Mo As Se
1 1 1 2
Direct
0.000 0.000 0.000 Ba
0.500 0.500 0.500 Mo
0.000 0.000 0.500 As
0.000 0.500 0.000 Se
0.500 0.000 0.000 Se
```

## Properties
Formation energy from raw total energies (eV per atom): 1.7166
Size of the total moment (μB per formula unit): 0.1
Crystal system: tetragonal
Calculated volume (Å³ per cell): 187
SG: P4/mmm
DFT total energy (eV per atom): -3.1579

***

(5)
The following is a DFT calculation (PBE) of a relaxed structure of BaMoAs2Se.

```
BaMoAs2Se
1.0
4.882 0.000 0.000
0.000 4.882 0.000
0.000 0.000 5.465
Ba Mo As Se
1 1 2 1
Direct
0.000 0.000 0.000 Ba
0.500 0.500 0.500 Mo
0.000 0.500 0.500 As
0.500 0.000 0.500 As
0.500 0.500 0.000 Se
```

## Properties
Formation energy from raw total energies (eV per atom): -0.4997
Size of the total moment (μB per formula unit): 0.0
Crystal system: tetragonal
Calculated volume (Å³ per cell): 130
SG: P4/mmm
DFT total energy (eV per atom): -5.6072

***

(6)
The following is a DFT calculation (PBE) of a relaxed structure of BaMoAsSe2.

```
BaMoAsSe2
1.0
5.166 0.000 0.000
0.000 5.166 0.000
0.000 0.000 4.875
Ba Mo As Se
1 1 1 2
Direct
0.000 0.000 0.000 Ba
0.500 0.500 0.500 Mo
0.500 0.500 0.000 As
0.000 0.500 0.500 Se
0.500 0.000 0.500 Se
```

## Properties
Formation energy from raw total energies (eV per atom): -0.6329
Size of the total moment (μB per formula unit): 0.4
Crystal system: tetragonal
Calculated volume (Å³ per cell): 130
SG: P4/mmm
DFT total energy (eV per atom): -5.5074

***

(7)
The following is a DFT calculation (PBE) of a relaxed structure of BaMoAs2Se.

```
BaMoAs2Se
1.0
5.592 0.000 0.000
0.000 5.592 0.000
0.000 0.000 5.785
Ba Mo As Se
1 1 2 1
Direct
0.000 0.000 0.000 Ba
0.500 0.500 0.500 Mo
0.000 0.500 0.000 As
0.500 0.000 0.000 As
0.000 0.000 0.500 Se
```

## Properties
Formation energy from raw total energies (eV per atom): 1.8989
Size of the total moment (μB per formula unit): 0.6
Crystal system: tetragonal
Calculated volume (Å³ per cell): 181
SG: P4/mmm
DFT total energy (eV per atom): -3.2086

***

(8)
The following is a DFT calculation (PBE) of a relaxed structure of BaSrMoAs2.

```
BaSrMoAs2
1.0
5.626 0.000 0.000
0.000 5.626 0.000
0.000 0.000 6.145
Ba Sr Mo As
1 1 1 2
Direct
0.000 0.000 0.000 Ba
0.000 0.000 0.500 Sr
0.500 0.500 0.500 Mo
0.000 0.500 0.000 As
0.500 0.000 0.000 As
```

## Properties
Formation energy from the elements (eV/atom): 1.953
Size of the total moment (μB per formula unit): 0.0
Crystal system: tetragonal
Calculated volume (Å³ per cell): 194
SG: P4/mmm
DFT total energy (eV per atom): -2.7939

***

Look up the size of the total moment of the fifth one.
0.0 μB per formula unit